Record 1
VASP calculation (PBE) on crystalline Cs2Na2As at its relaxed geometry.

Unit cell a=5.117 b=5.117 c=11.780 alpha=77.46 beta=77.46 gamma=60.00
Element x y z (fractional)
Cs  0.427  0.427  0.719
Cs  0.573  0.573  0.281
Na  0.682  0.682  0.953
Na  0.318  0.318  0.047
As  0.000  0.000  0.000

Results
- E_form: -0.2624 eV per atom
- Energy above the most stable polymorph in this dataset: 0.0000 eV/atom
- Symmetry: R-3m, No. 166

---

Record 2
VASP calculation (PBE) on crystalline BaLa2Pb at its relaxed geometry.

Unit cell a=6.321 b=6.321 c=3.782 alpha=90.00 beta=90.00 gamma=107.22
Element x y z (fractional)
Pb  0.500  0.000  0.500
Ba  0.000  0.500  0.500
La  0.000  0.000  0.000
La  0.500  0.500  0.000

Results
- E_form: -0.0794 eV per atom
- Symmetry: Cmmm, No. 65

---

Record 3
VASP calculation (PBE) on crystalline SrLaN at its relaxed geometry.

Unit cell a=3.658 b=3.658 c=13.931 alpha=90.00 beta=90.00 gamma=120.00
Element x y z (fractional)
N  0.000  0.000  0.000
N  0.333  0.667  0.500
Sr  0.000  0.000  0.394
Sr  0.000  0.000  0.606
La  0.333  0.667  0.889
La  0.333  0.667  0.111

Results
- Formation energy from raw total energies: -0.44 eV/atom
- Energy above the most stable polymorph in this dataset: 0.3400 eV/atom
- Symmetry: P-6m2, No. 187

---

Number 1: total magnetization 0.00 μB per atom, total energy -2.061 eV per atom. Number 2: total magnetization 0.00 μB per atom, total energy -3.951 eV per atom. Number 3: total magnetization 0.03 μB per atom, total energy -5.415 eV per atom.